No. 1
## Ce2SnSe5 (PBE)

Data for a relaxed Ce2SnSe5 crystal.

abc: 8.090 12.142 4.146
angles: 90.00 90.00 90.00
Space group Pbam (No. 55)
Unique sites:
Ce (0.034, 0.174, 0.000) (multiplicity 4)
Sn (0.000, 0.500, 0.500) (multiplicity 2)
Se (0.000, 0.000, 0.500) (multiplicity 2)
Se (0.177, 0.402, 0.000) (multiplicity 4)
Se (0.177, 0.699, 0.500) (multiplicity 4)

Output
Energy relative to the lowest polymorph listed for this composition (eV/atom): 0.000
Energy relative to the elements, uncorrected (eV/atom): -1.31



No. 2
## CeSn6Se8 (PBE)

Data for a relaxed CeSn6Se8 crystal.

abc: 9.8448 9.8448 5.9451
angles: 90.00 90.00 120.00
Space group P-3 (No. 147)
Unique sites:
Ce (0.0000, 0.0000, 0.0000) (multiplicity 1)
Sn (0.0868, 0.6770, 0.1762) (multiplicity 6)
Se (0.0022, 0.2576, 0.2420) (multiplicity 6)
Se (0.3333, 0.6667, 0.9614) (multiplicity 2)

Output
Energy relative to the lowest polymorph listed for this composition (eV/atom): 0.000
Energy relative to the elements, uncorrected (eV/atom): -0.60